## Na2CaTl2 (meta-GGA SCAN)

Data for a crystal of Na2CaTl2 relaxed with PBEsol.

a = 4.331 Å, b = 4.331 Å, c = 8.298 Å
α = 105.13°, β = 105.13°, γ = 90.00°
Fractional coordinates of all 5 atoms:
Na (0.250, 0.750, 0.500)
Na (0.750, 0.250, 0.500)
Tl (0.401, 0.401, 0.802)
Tl (0.599, 0.599, 0.198)
Ca (0.000, 0.000, 0.000)

Results
* formation energy from the elements: -0.261 eV/atom


## NaCa3Tl (meta-GGA SCAN)

Data for a crystal of NaCa3Tl relaxed with PBEsol.

a = 5.832 Å, b = 5.832 Å, c = 5.832 Å
α = 90.00°, β = 90.00°, γ = 90.00°
Fractional coordinates of all 5 atoms:
Tl (0.500, 0.500, 0.500)
Ca (0.500, 0.000, 0.000)
Ca (0.000, 0.000, 0.500)
Ca (0.000, 0.500, 0.000)
Na (0.000, 0.000, 0.000)

Results
* formation energy from the elements: 0.442 eV/atom


> The lowest formation energy from the elements belongs to which entry?

Na2CaTl2


> Which value of formation energy from the elements does entry 2 give?

0.442 eV/atom


Repeat the first record exactly.
## Na2CaTl2 (meta-GGA SCAN)

Data for a crystal of Na2CaTl2 relaxed with PBEsol.

a = 4.331 Å, b = 4.331 Å, c = 8.298 Å
α = 105.13°, β = 105.13°, γ = 90.00°
Fractional coordinates of all 5 atoms:
Na (0.250, 0.750, 0.500)
Na (0.750, 0.250, 0.500)
Tl (0.401, 0.401, 0.802)
Tl (0.599, 0.599, 0.198)
Ca (0.000, 0.000, 0.000)

Results
* formation energy from the elements: -0.261 eV/atom


> Which of these has the lowest formation energy from the elements?

Na2CaTl2